Entry from Alexandria via LeMat-Bulk: an optimized crystal structure of CaAlPb4 (PBE).

Space group = F-43m, No. 216
Crystal system = cubic
ΔE_f = 0.092 eV per atom

Structure (extended XYZ):
```
6
Lattice="0.000 4.577 4.577 4.577 0.000 4.577 4.577 4.577 0.000" Properties=species:S:1:pos:R:3 pbc="T T T"
Ca 0.000 0.000 0.000
Al 6.866 6.866 6.866
Pb 3.426 5.728 5.728
Pb 5.728 5.728 3.426
Pb 5.728 3.426 5.728
Pb 3.426 3.426 3.426
```